Below is a PBEsol-optimized structure of Mg5Pb3, with properties calculated at the meta-GGA SCAN level.

Output
- E: -31.70 eV/atom
- Size of the total moment: 0.0 μB/cell
- ΔE to the lowest computed polymorph: 0 meV per atom
- Formation energy: -0.170 eV/atom

The structure in extended XYZ format:
```
8
Lattice="-3.851 -2.037 1.609 3.344 -5.471 1.079 1.103 2.556 5.876" Properties=species:S:1:pos:R:3 pbc="T T T"
Pb 0.918 -4.696 2.955
Mg 1.346 -3.163 5.921
Mg 0.551 1.278 2.938
Mg 1.672 -2.735 0.539
Mg 0.000 0.000 0.000
Pb -0.322 -0.256 5.609
Mg -0.750 -1.789 2.643
Pb 2.223 -1.457 3.478
```

Below is a PBEsol-optimized structure of MgPb, with properties calculated at the meta-GGA SCAN level.

Output
- E: -40.52 eV/atom
- Size of the total moment: 0.0 μB/cell
- Formation energy: -0.142 eV/atom

The structure in extended XYZ format:
```
4
Lattice="-2.539 -1.455 -3.448 1.867 -4.046 0.333 -3.265 1.356 4.798" Properties=species:S:1:pos:R:3 pbc="T T T"
Pb -0.774 -4.113 -0.660
Pb -3.162 -0.032 2.342
Mg -0.434 -1.360 0.894
Mg -3.503 -2.785 0.789
```

Among the records above, which one has the lowest formation energy?
Mg5Pb3

Number 2 is which compound?
MgPb